No. 1
Density functional theory data (PBE) for a relaxed structure of LaZn2Ru2.

* total moment: 0.00 μB/f.u.
* calculated total energy: -5.246 eV per atom
* E above lowest polymorph: 0.077 eV/atom

a b c (Å): 7.331 7.331 3.196
angles (deg): 90.00 90.00 90.00
Atoms (fractional coordinates):
La 0.000 0.000 0.000
La 0.500 0.500 0.000
Zn 0.138 0.362 0.500
Zn 0.362 0.862 0.500
Zn 0.638 0.138 0.500
Zn 0.862 0.638 0.500
Ru 0.152 0.652 0.000
Ru 0.348 0.152 0.000
Ru 0.652 0.848 0.000
Ru 0.848 0.348 0.000


No. 2
Density functional theory data (PBE) for a relaxed structure of LaDy2Tm.

* total moment: 0.02 μB/f.u.
* calculated total energy: -4.643 eV per atom
* E above lowest polymorph: 0.000 eV/atom

a b c (Å): 11.735 11.735 11.735
angles (deg): 17.66 17.66 17.66
Atoms (fractional coordinates):
La 0.000 0.000 0.000
Dy 0.419 0.419 0.419
Dy 0.580 0.580 0.580
Tm 0.166 0.166 0.166


No. 3
Density functional theory data (PBE) for a relaxed structure of PmAl2Si.

* total moment: 0.00 μB/f.u.
* calculated total energy: -4.752 eV per atom
* E above lowest polymorph: 0.000 eV/atom
* raw formation energy: -0.3377 eV/atom

a b c (Å): 4.244 4.244 4.409
angles (deg): 90.00 90.00 90.00
Atoms (fractional coordinates):
Pm 0.000 0.000 0.000
Al 0.000 0.500 0.500
Al 0.500 0.000 0.500
Si 0.500 0.500 0.000


No. 4
Density functional theory data (PBE) for a relaxed structure of ZrAlTc.

* total moment: 0.00 μB/f.u.
* calculated total energy: -7.939 eV per atom
* E above lowest polymorph: 0.121 eV/atom

a b c (Å): 4.552 6.915 6.915
angles (deg): 28.45 90.00 90.00
Atoms (fractional coordinates):
Zr 0.000 0.000 0.000
Zr 0.500 0.187 0.187
Al 0.000 0.322 0.322
Al 0.500 0.510 0.510
Tc 0.000 0.665 0.665
Tc 0.500 0.859 0.859